1.
This record from Alexandria describes an optimized crystal structure of MnCdCu2Hg. The functional is GGA-PBEsol.

Summary:
**Energy of formation**: 500 kJ/mol of formula units

```
MnCdCu2Hg
1.0
4.771 0.000 0.000
0.000 4.771 0.000
0.000 0.000 4.950
Mn Cd Cu Hg
1 1 2 1
Direct
0.000 0.000 0.000
0.500 0.500 0.000
0.000 0.500 0.500
0.500 0.000 0.500
0.000 0.000 0.500
```

=====

2.
This record from Alexandria describes an optimized crystal structure of YCd2CuHg. The functional is GGA-PBEsol.

Summary:
**Energy of formation**: 301 kJ/mol of formula units

```
YCd2CuHg
1.0
5.139 0.000 0.000
0.000 5.139 0.000
0.000 0.000 5.635
Y Cd Cu Hg
1 2 1 1
Direct
0.000 0.000 0.000
0.000 0.500 0.500
0.500 0.000 0.500
0.500 0.500 0.000
0.000 0.000 0.500
```

=====

3.
This record from Alexandria describes an optimized crystal structure of HoCdCu4. The functional is GGA-PBEsol.

Summary:
**Energy of formation**: -155 kJ/mol of formula units

```
HoCdCu4
1.0
0.000 3.535 3.535
3.535 0.000 3.535
3.535 3.535 0.000
Ho Cd Cu
1 1 4
Direct
0.000 0.000 0.000
0.750 0.750 0.750
0.376 0.376 0.376
0.376 0.376 0.872
0.376 0.872 0.376
0.872 0.376 0.376
```

=====

4.
This record from Alexandria describes an optimized crystal structure of CdCuI2O. The functional is GGA-PBEsol.

Summary:
**Energy relative to the elements, uncorrected**: 0.38 eV per atom

```
CdCuI2O
1.0
5.763 0.000 0.000
0.000 5.763 0.000
0.000 0.000 3.996
Cd Cu I O
1 1 2 1
Direct
0.000 0.000 0.000
0.500 0.500 0.500
0.000 0.500 0.000
0.500 0.000 0.000
0.000 0.000 0.500
```

=====

5.
This record from Alexandria describes an optimized crystal structure of Zr2CdCuI. The functional is GGA-PBEsol.

Summary:
**Energy relative to the elements, uncorrected**: 0.88 eV per atom

```
Zr2CdCuI
1.0
5.225 0.000 0.000
0.000 5.225 0.000
0.000 0.000 4.661
Zr Cd Cu I
2 1 1 1
Direct
0.000 0.500 0.000
0.500 0.000 0.000
0.000 0.000 0.500
0.500 0.500 0.500
0.500 0.500 0.000
```

=====

6.
This record from Alexandria describes an optimized crystal structure of Cd2InCu. The functional is GGA-PBEsol.

Summary:
**Energy of formation**: 27 kJ/mol of formula units

```
Cd2InCu
1.0
3.024 0.000 0.000
0.000 3.024 0.000
0.000 0.000 8.481
Cd In Cu
2 1 1
Direct
0.000 0.000 0.202
0.000 0.000 0.798
0.500 0.500 0.500
0.500 0.500 0.000
```

=====

7.
This record from Alexandria describes an optimized crystal structure of CdInCu2. The functional is GGA-PBEsol.

Summary:
**Energy of formation**: 24 kJ/mol of formula units

```
CdInCu2
1.0
3.150 -3.153 0.000
3.150 3.153 0.000
0.000 0.000 3.172
Cd In Cu
1 1 2
Direct
0.000 0.000 0.000
0.500 0.500 0.000
0.000 0.500 0.500
0.500 0.000 0.500
```

=====

8.
This record from Alexandria describes an optimized crystal structure of CdInCu2. The functional is GGA-PBEsol.

Summary:
**Energy of formation**: 26 kJ/mol of formula units

```
CdInCu2
1.0
3.195 0.000 0.000
0.000 3.195 0.000
0.000 0.000 6.175
Cd In Cu
1 1 2
Direct
0.000 0.000 0.000
0.000 0.000 0.500
0.500 0.500 0.245
0.500 0.500 0.755
```

=====

9.
This record from Alexandria describes an optimized crystal structure of CdInCu2. The functional is GGA-PBEsol.

Summary:
**Energy of formation**: 27 kJ/mol of formula units

```
CdInCu2
1.0
3.144 0.000 0.000
0.000 3.144 0.000
0.000 0.000 6.552
Cd In Cu
1 1 2
Direct
0.000 0.000 0.000
0.500 0.500 0.666
0.000 0.000 0.415
0.500 0.500 0.244
```

=====

10.
This record from Alexandria describes an optimized crystal structure of Cd2InCu. The functional is GGA-PBEsol.

Summary:
**Energy of formation**: 29 kJ/mol of formula units

```
Cd2InCu
1.0
3.023 0.000 0.000
0.000 3.023 0.000
0.000 0.000 8.344
Cd In Cu
2 1 1
Direct
0.000 0.000 0.000
0.500 0.500 0.277
0.500 0.500 0.702
0.000 0.000 0.486
```

=====

11.
This record from Alexandria describes an optimized crystal structure of Cd2InCu2. The functional is GGA-PBEsol.

Summary:
**Energy of formation**: 101 kJ/mol of formula units
**Distance to the lowest polymorph of the same formula**: 118 meV per atom

```
Cd2InCu2
1.0
-1.952 1.952 6.148
1.952 -1.952 6.148
1.952 1.952 -6.148
Cd In Cu
2 1 2
Direct
0.250 0.750 0.500
0.750 0.250 0.500
0.000 0.000 0.000
0.405 0.405 0.000
0.595 0.595 0.000
```

=====

12.
This record from Alexandria describes an optimized crystal structure of CdInCu2. The functional is GGA-PBEsol.

Summary:
**Energy of formation**: 26 kJ/mol of formula units

```
CdInCu2
1.0
5.025 -1.491 0.000
5.025 1.491 0.000
-1.535 0.000 4.268
Cd In Cu
1 1 2
Direct
0.000 0.000 0.000
0.214 0.214 0.649
0.459 0.459 0.470
0.756 0.756 0.177
```